No. 1
A plane-wave DFT calculation with PBE-GGA was carried out for crystalline BaPdN2O at its relaxed geometry.

**Magnetic moment**: 2.93 μB per cell
**Formation energy from raw total energies**: 0.92 eV/f.u.
**VASP energy**: -27.80 eV for the cell shown

a b c (Å): 4.0549 4.0549 4.5137
angles (deg): 90.00 90.00 90.00
With the nearest neighbours (Å) after each atom.
Positions (direct):
Ba 0.0000 0.0000 0.0000  4 O 2.87, 8 N 3.03
Pd 0.5000 0.5000 0.5000  4 N 2.03, 2 O 2.26
N 0.0000 0.5000 0.5000  2 Pd 2.03
N 0.5000 0.0000 0.5000  2 Pd 2.03
O 0.5000 0.5000 0.0000  2 Pd 2.26

***

No. 2
A plane-wave DFT calculation with PBE-GGA was carried out for crystalline Pm3Pr3Sn2 at its relaxed geometry.

**Magnetic moment**: 0.00 μB per cell
**E_form**: -0.353 eV per atom
**VASP energy**: -78.84 eV for the cell shown

a b c (Å): 6.5207 6.5207 19.8417
angles (deg): 90.00 90.00 141.18
With the nearest neighbours (Å) after each atom.
Positions (direct):
Pm 0.0963 0.9037 0.7500  2 Sn 3.12, 3 Pr 3.44-3.47
Pm 0.1415 0.8585 0.0229  3 Sn 3.26-3.29, 3 Pm 3.56-3.60, 2 Pr 3.59
Pm 0.1415 0.8585 0.4771  3 Sn 3.26-3.29, 3 Pm 3.56-3.60, 2 Pr 3.59
Pm 0.8585 0.1415 0.5229  3 Sn 3.26-3.29, 3 Pm 3.56-3.60, 2 Pr 3.59
Pm 0.8585 0.1415 0.9771  3 Sn 3.26-3.29, 3 Pm 3.56-3.60, 2 Pr 3.59
Pm 0.9037 0.0963 0.2500  2 Sn 3.12, 3 Pr 3.44-3.47
Pr 0.1836 0.8164 0.2500  4 Sn 3.35, 3 Pm 3.44-3.47
Pr 0.4608 0.5392 0.1142  3 Sn 3.43-3.51, 6 Pm 3.53-3.70
Pr 0.4608 0.5392 0.3859  3 Sn 3.43-3.51, 6 Pm 3.53-3.70
Pr 0.5392 0.4608 0.6142  3 Sn 3.43-3.51, 6 Pm 3.53-3.70
Pr 0.5392 0.4608 0.8858  3 Sn 3.43-3.51, 6 Pm 3.53-3.70
Pr 0.8164 0.1836 0.7500  4 Sn 3.35, 3 Pm 3.44-3.47
Sn 0.2545 0.7455 0.6272  4 Pm 3.12-3.29, 4 Pr 3.35-3.43
Sn 0.2545 0.7455 0.8728  4 Pm 3.12-3.29, 4 Pr 3.35-3.43
Sn 0.7455 0.2545 0.1272  4 Pm 3.12-3.29, 4 Pr 3.35-3.43
Sn 0.7455 0.2545 0.3728  4 Pm 3.12-3.29, 4 Pr 3.35-3.43

***

No. 3
A plane-wave DFT calculation with PBE-GGA was carried out for crystalline MnSe2N2 at its relaxed geometry.

**Magnetic moment**: 4.77 μB per cell
**Formation energy from raw total energies**: 6.74 eV/f.u.
**VASP energy**: -26.04 eV for the cell shown

a b c (Å): 3.7147 3.7147 7.0581
angles (deg): 90.00 90.00 90.00
With the nearest neighbours (Å) after each atom.
Positions (direct):
Mn 0.0000 0.0000 0.0000  4 Se 2.63
Se 0.5000 0.5000 0.0000  4 Mn 2.63
Se 0.5000 0.5000 0.5000  4 N 1.86
N 0.0000 0.5000 0.5000  2 Se 1.86
N 0.5000 0.0000 0.5000  2 Se 1.86

***

No. 4
A plane-wave DFT calculation with PBE-GGA was carried out for crystalline KTeCl3 at its relaxed geometry.

**Magnetic moment**: 0.00 μB per cell
**Formation energy from raw total energies**: -4.54 eV/f.u.
**VASP energy**: -14.32 eV for the cell shown

a b c (Å): 5.5528 5.5528 5.5528
angles (deg): 90.00 90.00 90.00
With the nearest neighbours (Å) after each atom.
Positions (direct):
K 0.0000 0.0000 0.0000  12 Cl 3.93
Te 0.5000 0.5000 0.5000  6 Cl 2.78
Cl 0.0000 0.5000 0.5000  2 Te 2.78
Cl 0.5000 0.0000 0.5000  2 Te 2.78
Cl 0.5000 0.5000 0.0000  2 Te 2.78